FeMoW2N | GGA-PBE | relaxed

Summary:
Total DFT energy (no corrections), Ry/atom: -0.7864
DOS(E_F), states/eV/f.u.: 4.3
Symmetry: P4/mmm, No. 123
Uncorrected formation energy, meV per atom: 5

The structure in extended XYZ format:
```
5
Lattice="4.147 0.000 0.000 0.000 4.147 0.000 0.000 0.000 3.775" Properties=species:S:1:pos:R:3 pbc="T T T"
Fe 0.000 0.000 0.000
Mo 2.073 2.073 0.000
W 0.000 2.073 1.888
W 2.073 0.000 1.888
N 0.000 0.000 1.888
```